{"formula": "BeTlFe2", "functional": "PBE", "state": "relaxed", "lattice": [[-1.5176, -1.2642, 2.2856], [2.5786, -1.0313, 1.1418], [1.1068, 5.0896, 3.5500]], "species": ["Be", "Tl", "Fe", "Fe"], "fractional_positions": [[0.5000, 0.4308, 0.8278], [0.0000, 0.8164, 0.5022], [0.0000, 0.8932, 0.9845], [0.5000, 0.3596, 0.1856]], "space_group": "Pm (6)", "total_energy_ev_per_cell": -21.63, "m_tot_mub_per_cell": 4.606, "formation_enthalpy_0k_ev_per_atom": 0.3465}

{"formula": "BeTl2Fe", "functional": "PBE", "state": "relaxed", "lattice": [[4.1283, 0.0000, 0.0000], [0.0000, 3.1441, 0.0113], [0.0000, 0.3128, 5.9627]], "species": ["Be", "Tl", "Fe", "Tl"], "fractional_positions": [[0.5000, 0.2500, 0.2500], [0.0000, 0.4104, 0.4983], [0.5000, 0.7500, 0.7500], [0.0000, 0.0896, 0.0017]], "space_group": "P2/m (10)", "total_energy_ev_per_cell": -13.69, "m_tot_mub_per_cell": 2.775, "de_polymorph_ev_per_atom": 0.368, "formation_enthalpy_0k_ev_per_atom": 0.8087}